No. 1
Material: LiCr3Mo
Method: DFT, GGA-PBE
State: optimized geometry

The total energy is -7.035 eV/atom.

Unit cell a=4.735 b=4.735 c=4.735 alpha=90.00 beta=90.00 gamma=90.00
Element x y z (fractional)
Cr 0.000 0.500 0.000
Cr 0.000 0.000 0.500
Cr 0.500 0.000 0.000
Mo 0.000 0.000 0.000
Li 0.500 0.500 0.500


No. 2
Material: SmLuThHg
Method: DFT, GGA-PBE
State: optimized geometry

The total energy is -4.242 eV/atom.

Unit cell a=5.463 b=5.463 c=5.463 alpha=60.00 beta=60.00 gamma=60.00
Element x y z (fractional)
Lu 0.750 0.750 0.750
Sm 0.500 0.500 0.500
Hg 0.250 0.250 0.250
Th 0.000 0.000 0.000


No. 3
Material: TaOsAu2
Method: DFT, GGA-PBE
State: optimized geometry

The total energy is -7.144 eV/atom.

Unit cell a=4.291 b=2.860 c=6.165 alpha=62.33 beta=90.00 gamma=90.00
Element x y z (fractional)
Au 0.000 0.999 0.001
Au 0.000 0.501 0.499
Os 0.500 0.250 0.250
Ta 0.500 0.750 0.750


No. 4
Material: MoOsAu4
Method: DFT, GGA-PBE
State: optimized geometry

The total energy is -4.964 eV/atom.

Unit cell a=5.341 b=5.341 c=5.341 alpha=60.00 beta=60.00 gamma=60.00
Element x y z (fractional)
Mo 0.250 0.250 0.250
Os 0.000 0.000 0.000
Au 0.625 0.625 0.125
Au 0.625 0.125 0.625
Au 0.625 0.625 0.625
Au 0.125 0.625 0.625


No. 5
Material: AcPrErMg
Method: DFT, GGA-PBE
State: optimized geometry

The total energy is -3.776 eV/atom.

Unit cell a=3.838 b=3.838 c=9.084 alpha=90.00 beta=90.00 gamma=90.00
Element x y z (fractional)
Ac 0.000 0.000 0.081
Pr 0.500 0.500 0.783
Er 0.500 0.500 0.361
Mg 0.000 0.000 0.559


No. 6
Material: Na3Np3IrS8
Method: DFT, GGA-PBE
State: optimized geometry

Its formation energy without anion corrections is -1.135 eV per atom.

Unit cell a=7.646 b=7.645 c=8.187 alpha=117.86 beta=90.00 gamma=120.00
Element x y z (fractional)
Na 0.000 0.000 0.000
Na 0.000 0.500 0.000
Na 0.500 0.500 0.000
Np 0.500 0.000 0.500
Np 0.500 0.500 0.500
Np 0.000 0.500 0.500
Ir 0.000 0.000 0.500
S 0.256 0.513 0.269
S 0.744 0.487 0.731
S 0.778 0.555 0.288
S 0.222 0.445 0.712
S 0.778 0.011 0.288
S 0.222 0.989 0.712
S 0.233 0.011 0.288
S 0.767 0.989 0.712


No. 7
Material: Li2Au2Br7
Method: DFT, GGA-PBE
State: optimized geometry

Its formation energy without anion corrections is -0.567 eV per atom.

Unit cell a=7.623 b=7.195 c=7.195 alpha=112.43 beta=86.60 gamma=86.60
Element x y z (fractional)
Li 0.500 0.334 0.666
Li 0.500 0.666 0.334
Au 0.205 0.718 0.718
Au 0.795 0.282 0.282
Br 0.246 0.524 0.936
Br 0.754 0.064 0.476
Br 0.754 0.476 0.064
Br 0.246 0.936 0.524
Br 0.293 0.398 0.398
Br 0.000 0.000 0.000
Br 0.707 0.602 0.602


No. 8
Material: La7CoCl12
Method: DFT, GGA-PBE
State: optimized geometry

Its formation energy without anion corrections is -1.961 eV per atom.

Unit cell a=10.801 b=9.376 c=9.376 alpha=106.19 beta=112.58 gamma=112.58
Element x y z (fractional)
La 0.113 0.803 0.103
La 0.990 0.103 0.300
La 0.690 0.700 0.803
La 0.500 0.000 0.000
La 0.310 0.300 0.197
La 0.010 0.897 0.700
La 0.887 0.197 0.897
Co 0.000 0.000 0.000
Cl 0.203 0.527 0.131
Cl 0.929 0.131 0.604
Cl 0.635 0.808 0.091
Cl 0.457 0.091 0.283
Cl 0.324 0.396 0.527
Cl 0.174 0.717 0.808
Cl 0.826 0.283 0.192
Cl 0.676 0.604 0.473
Cl 0.543 0.909 0.717
Cl 0.365 0.192 0.909
Cl 0.071 0.869 0.396
Cl 0.797 0.473 0.869


Summary of DOS(E_F) in states/eV/f.u.
2.37 7.61 2.78 3.92 4.84 27.57 4.97 10.75
(order as listed above)